# 1
VASP calculation (PBE) on a relaxed U3Ru2 crystal.

The density of states at the Fermi level is 21.447 states/eV per cell. The total energy comes out at -10.562 eV per atom.

It has space group P2_1 (No. 4), with a = 5.241 Å, b = 7.012 Å, c = 5.331 Å, α = 90.00°, β = 93.50° and γ = 90.00°. The inequivalent atoms are U at (0.086, 0.000, 0.412), U at (0.237, 0.539, 0.225), U at (0.351, 0.814, 0.769), Ru at (0.200, 0.164, 0.968) and Ru at (0.443, 0.434, 0.714).

***

# 2
VASP calculation (PBE) on a relaxed URu2 crystal.

The density of states at the Fermi level is 5.610 states/eV per cell. The total energy comes out at -10.055 eV per atom.

It has space group I4/mmm (No. 139), with a = 3.715 Å, b = 3.715 Å, c = 7.710 Å, α = 90.00°, β = 90.00° and γ = 90.00°. The inequivalent atoms are U at (0.000, 0.000, 0.000) and Ru at (0.000, 0.000, 0.314).

***

# 3
VASP calculation (PBE) on a relaxed URu7 crystal.

The density of states at the Fermi level is 38.948 states/eV per cell. The total energy comes out at -9.612 eV per atom.

It has space group Fm-3m (No. 225), with a = 7.815 Å, b = 7.815 Å, c = 7.815 Å, α = 90.00°, β = 90.00° and γ = 90.00°. The inequivalent atoms are U at (0.000, 0.000, 0.000), Ru at (0.000, 0.000, 0.500) and Ru at (0.000, 0.250, 0.250).

***

# 4
VASP calculation (PBE) on a relaxed UV2Ru crystal.

The density of states at the Fermi level is 6.105 states/eV per cell. The total energy comes out at -9.557 eV per atom.

It has space group P4/mmm (No. 123), with a = 3.167 Å, b = 3.167 Å, c = 6.101 Å, α = 90.00°, β = 90.00° and γ = 90.00°. The inequivalent atoms are U at (0.000, 0.000, 0.000), V at (0.500, 0.500, 0.249) and Ru at (0.000, 0.000, 0.500).

***

# 5
VASP calculation (PBE) on a relaxed UVRu crystal.

The density of states at the Fermi level is 11.199 states/eV per cell. The total energy comes out at -9.976 eV per atom.

It has space group I4mm (No. 107), with a = 2.919 Å, b = 2.919 Å, c = 11.579 Å, α = 90.00°, β = 90.00° and γ = 90.00°. The inequivalent atoms are U at (0.000, 0.000, 0.000), V at (0.000, 0.000, 0.686) and Ru at (0.000, 0.000, 0.310).

***

# 6
VASP calculation (PBE) on a relaxed UV2Ru crystal.

The density of states at the Fermi level is 8.464 states/eV per cell. The total energy comes out at -9.613 eV per atom.

It has space group P4/mmm (No. 123), with a = 3.749 Å, b = 3.749 Å, c = 4.644 Å, α = 90.00°, β = 90.00° and γ = 90.00°. The inequivalent atoms are U at (0.000, 0.000, 0.000), V at (0.000, 0.500, 0.500) and Ru at (0.500, 0.500, 0.000).